# Ag3PdAu2

Crystalline Ag3PdAu2 at its relaxed geometry (PBE, the Alexandria database).

Results
Uncorrected energy ... -20.15 eV/f.u.
Energy above the most stable polymorph in this dataset ... 0 meV/atom
Total magnetization ... 0.00 Bohr magnetons per cell
E_form ... 0.57 kcal/mol of atoms

Geometry as POSCAR:
```
Ag3PdAu2
1.0
-2.285 2.810 4.256
-8.551 -2.355 -3.036
4.507 -5.537 6.076
Ag Pd Au
12 4 8
Cartesian
-6.407 -2.826 5.763 Ag
-8.641 -0.081 2.751 Ag
-4.402 1.087 4.256 Ag
0.078 -2.257 1.532 Ag
2.313 -5.002 4.545 Ag
-1.927 -6.170 3.039 Ag
-1.065 -0.852 3.660 Ag
1.170 -3.598 6.672 Ag
-3.070 -4.766 5.167 Ag
-5.264 -4.231 3.636 Ag
-7.499 -1.485 0.623 Ag
-3.259 -0.317 2.129 Ag
-4.198 -3.416 0.001 Pd
-2.130 -1.667 7.294 Pd
-0.988 -3.072 5.166 Pd
-5.341 -2.011 2.129 Pd
-0.571 0.702 1.064 Au
-1.714 2.107 3.192 Au
-4.847 -0.476 -0.454 Au
-2.594 -3.244 2.583 Au
-6.868 -4.421 1.066 Au
-1.482 -4.607 7.749 Au
-3.735 -1.839 4.712 Au
0.539 -0.662 6.230 Au
```


# Si3BOs

Crystalline Si3BOs at its relaxed geometry (PBE, the Alexandria database).

Results
Raw formation energy ... 0.870 eV per atom
Uncorrected energy ... -29.83 eV/f.u.
Energy above the most stable polymorph in this dataset ... 0 meV/atom
Total magnetization ... 0.00 Bohr magnetons per cell

Geometry as POSCAR:
```
Si3BOs
1.0
-2.477 3.143 -0.233
-0.996 -1.061 -3.735
-2.991 -2.250 1.436
Si B Os
3 1 1
Cartesian
-0.498 -0.531 -1.868 Si
-1.495 -1.125 0.718 Si
-1.238 1.572 -0.117 Si
0.000 0.000 0.000 B
-3.231 -0.084 -1.266 Os
```


# La8Ru3PtCl4

Crystalline La8Ru3PtCl4 at its relaxed geometry (PBE, the Alexandria database).

Results
Raw formation energy ... -1.153 eV per atom
Uncorrected energy ... -99.12 eV/f.u.
Total magnetization ... 0.00 Bohr magnetons per cell

Geometry as POSCAR:
```
La8Ru3PtCl4
1.0
8.311 0.000 0.000
0.000 9.031 0.496
-4.155 -4.152 5.878
La Ru Pt Cl
8 3 1 4
Cartesian
-2.010 2.356 6.018 La
0.000 4.364 3.175 La
0.000 0.449 3.247 La
2.010 2.356 6.018 La
2.146 2.523 0.356 La
4.155 4.430 3.127 La
4.155 0.515 3.199 La
6.165 2.523 0.356 La
4.155 4.515 0.248 Ru
2.078 2.440 3.187 Ru
-2.078 2.440 3.187 Ru
0.000 4.515 0.248 Pt
4.155 0.000 0.000 Cl
2.078 -2.076 2.939 Cl
0.000 0.000 0.000 Cl
-2.078 -2.076 2.939 Cl
```


# Hf2InNi

Crystalline Hf2InNi at its relaxed geometry (PBE, the Alexandria database).

Results
Uncorrected energy ... -28.88 eV/f.u.
Total magnetization ... 0.00 Bohr magnetons per cell
E_form ... -2.60 kcal/mol of atoms

Geometry as POSCAR:
```
Hf2InNi
1.0
3.416 0.000 0.000
1.708 2.958 0.000
1.708 0.986 8.209
Ni Hf In
1 2 1
Cartesian
0.000 0.000 0.000 Ni
1.708 0.986 1.617 Hf
5.124 2.958 6.592 Hf
3.416 1.972 4.104 In
```


> Which value of uncorrected energy does entry 2 give?

-29.83 eV/f.u.


> What is the total magnetization in the third record?

0.00 Bohr magnetons per cell


Copy entry 1 word for word.
# Ag3PdAu2

Crystalline Ag3PdAu2 at its relaxed geometry (PBE, the Alexandria database).

Results
Uncorrected energy ... -20.15 eV/f.u.
Energy above the most stable polymorph in this dataset ... 0 meV/atom
Total magnetization ... 0.00 Bohr magnetons per cell
E_form ... 0.57 kcal/mol of atoms

Geometry as POSCAR:
```
Ag3PdAu2
1.0
-2.285 2.810 4.256
-8.551 -2.355 -3.036
4.507 -5.537 6.076
Ag Pd Au
12 4 8
Cartesian
-6.407 -2.826 5.763 Ag
-8.641 -0.081 2.751 Ag
-4.402 1.087 4.256 Ag
0.078 -2.257 1.532 Ag
2.313 -5.002 4.545 Ag
-1.927 -6.170 3.039 Ag
-1.065 -0.852 3.660 Ag
1.170 -3.598 6.672 Ag
-3.070 -4.766 5.167 Ag
-5.264 -4.231 3.636 Ag
-7.499 -1.485 0.623 Ag
-3.259 -0.317 2.129 Ag
-4.198 -3.416 0.001 Pd
-2.130 -1.667 7.294 Pd
-0.988 -3.072 5.166 Pd
-5.341 -2.011 2.129 Pd
-0.571 0.702 1.064 Au
-1.714 2.107 3.192 Au
-4.847 -0.476 -0.454 Au
-2.594 -3.244 2.583 Au
-6.868 -4.421 1.066 Au
-1.482 -4.607 7.749 Au
-3.735 -1.839 4.712 Au
0.539 -0.662 6.230 Au
```